CaTiVP3O12, relaxed, DFT PBE+U; M_tot = 2.00 μB/f.u.; energy = -7.69 eV per atom; density of states at the Fermi level = 0.31 states/eV/atom
1.0
8.863 -0.009 -0.006
4.628 7.558 -0.006
4.628 2.590 7.101
Ca Ti V P O
2 2 2 6 24
Cartesian
18.085 10.120 7.075 Ca
9.026 5.051 3.531 Ca
2.669 1.493 1.044 Ti
11.728 6.563 4.588 Ti
6.425 3.595 2.513 V
15.484 8.665 6.058 V
5.960 5.420 5.345 P
7.737 5.791 0.273 P
8.983 1.481 3.255 P
9.179 8.644 3.823 P
10.392 4.393 6.806 P
12.169 4.725 1.789 P
4.785 4.611 2.117 O
5.547 2.210 3.604 O
6.005 4.446 6.560 O
6.433 2.560 0.838 O
6.629 6.745 5.667 O
6.733 4.791 4.167 O
6.930 7.120 0.370 O
7.605 5.024 1.605 O
8.166 8.513 2.636 O
8.260 2.831 3.068 O
8.456 8.932 5.155 O
8.873 4.136 7.090 O
9.216 6.051 0.047 O
9.694 1.097 1.923 O
9.890 7.261 3.921 O
9.978 1.655 4.388 O
10.437 5.199 5.473 O
11.164 3.070 6.619 O
11.362 5.273 3.003 O
11.527 3.337 1.450 O
11.723 7.586 6.186 O
12.036 5.712 0.611 O
12.597 7.879 3.533 O
13.304 5.590 5.000 O